# BaTaPb2, optimized geometry, DFT GGA-PBEsol
data_BaTaPb2
_cell_length_a 3.2932
_cell_length_b 4.5805
_cell_length_c 8.2971
_cell_angle_alpha 90.00
_cell_angle_beta 90.00
_cell_angle_gamma 90.00
_symmetry_space_group_name_H-M 'P m m 2'
_symmetry_Int_Tables_number 25
loop_
_symmetry_equiv_pos_as_xyz
'x,y,z'
'-x,-y,z'
'-x,y,z'
'x,-y,z'
loop_
_atom_site_label
_atom_site_fract_x
_atom_site_fract_y
_atom_site_fract_z
_atom_site_occupancy
Ba1 0.0000 0.0000 0.0000 1
Ta1 0.0000 0.5000 0.5358 1
Pb1 0.5000 0.0000 0.6144 1
Pb2 0.5000 0.5000 0.2496 1
# * Fermi-level density of states: 3.33 states/eV/f.u.


# Li3MnVP3O12, optimized geometry, DFT GGA-PBEsol
data_Li3MnVP3O12
_cell_length_a 8.2239
_cell_length_b 8.2308
_cell_length_c 8.9540
_cell_angle_alpha 89.82
_cell_angle_beta 62.90
_cell_angle_gamma 60.99
_symmetry_space_group_name_H-M 'P -1'
_symmetry_Int_Tables_number 2
loop_
_symmetry_equiv_pos_as_xyz
'x,y,z'
'-x,-y,-z'
loop_
_atom_site_label
_atom_site_fract_x
_atom_site_fract_y
_atom_site_fract_z
_atom_site_occupancy
Li1 0.0458 0.2711 0.3718 1
Li2 0.1985 0.0593 0.6280 1
Li3 0.3917 0.4377 0.8666 1
Mn1 0.2783 0.8557 0.0684 1
V1 0.3103 0.3426 0.5390 1
P1 0.1946 0.5514 0.2579 1
P2 0.2230 0.7317 0.7473 1
P3 0.4987 0.0381 0.7505 1
O1 0.0042 0.5192 0.3177 1
O2 0.0075 0.8605 0.7558 1
O3 0.1098 0.7638 0.2530 1
O4 0.2082 0.7494 0.9240 1
O5 0.2542 0.5274 0.4023 1
O6 0.2996 0.1530 0.4015 1
O7 0.3177 0.5130 0.6808 1
O8 0.3494 0.1604 0.6792 1
O9 0.3714 0.9950 0.9115 1
O10 0.3809 0.7900 0.6204 1
O11 0.3860 0.4101 0.0819 1
O12 0.4106 0.8507 0.2153 1
# * polymorph energy (0 for the lowest one): 0.000 eV per atom
# * Fermi-level density of states: 6.89 states/eV/f.u.
# * raw formation energy: -2.232 eV per atom


# CaTl2In, optimized geometry, DFT GGA-PBEsol
data_CaTl2In
_cell_length_a 7.5734
_cell_length_b 7.5734
_cell_length_c 7.5734
_cell_angle_alpha 90.00
_cell_angle_beta 90.00
_cell_angle_gamma 90.00
_symmetry_space_group_name_H-M 'F -4 3 m'
_symmetry_Int_Tables_number 216
_symmetry_space_group_name_Hall 'F -4 2 3'
loop_
_atom_site_label
_atom_site_fract_x
_atom_site_fract_y
_atom_site_fract_z
_atom_site_occupancy
Ca1 0.0000 0.0000 0.0000 1
Tl1 0.0000 0.0000 0.5000 1
Tl2 0.2500 0.2500 0.2500 1
In1 0.2500 0.2500 0.7500 1
# * Fermi-level density of states: 1.96 states/eV/f.u.


# Cu3TcN, optimized geometry, DFT GGA-PBEsol
data_Cu3TcN
_cell_length_a 3.8131
_cell_length_b 3.8131
_cell_length_c 3.8131
_cell_angle_alpha 90.00
_cell_angle_beta 90.00
_cell_angle_gamma 90.00
_symmetry_space_group_name_H-M 'P m -3 m'
_symmetry_Int_Tables_number 221
_symmetry_space_group_name_Hall '-P 4 2 3'
loop_
_atom_site_label
_atom_site_fract_x
_atom_site_fract_y
_atom_site_fract_z
_atom_site_occupancy
Cu1 0.0000 0.0000 0.5000 1
Tc1 0.5000 0.5000 0.5000 1
N1 0.0000 0.0000 0.0000 1
# * polymorph energy (0 for the lowest one): 0.000 eV per atom
# * Fermi-level density of states: 3.70 states/eV/f.u.
# * raw formation energy: 0.678 eV per atom


# Li2MgAu, optimized geometry, DFT GGA-PBEsol
data_Li2MgAu
_cell_length_a 4.0001
_cell_length_b 4.0001
_cell_length_c 8.0299
_cell_angle_alpha 90.00
_cell_angle_beta 90.00
_cell_angle_gamma 90.00
_symmetry_space_group_name_H-M 'I 4/m m m'
_symmetry_Int_Tables_number 139
_symmetry_space_group_name_Hall '-I 4 2'
loop_
_atom_site_label
_atom_site_fract_x
_atom_site_fract_y
_atom_site_fract_z
_atom_site_occupancy
Li1 0.0000 0.5000 0.2500 1
Mg1 0.0000 0.0000 0.0000 1
Au1 0.0000 0.0000 0.5000 1
# * Fermi-level density of states: 1.40 states/eV/f.u.


# Re3SeO, optimized geometry, DFT GGA-PBEsol
data_Re3SeO
_cell_length_a 4.1022
_cell_length_b 4.1022
_cell_length_c 4.1022
_cell_angle_alpha 90.00
_cell_angle_beta 90.00
_cell_angle_gamma 90.00
_symmetry_space_group_name_H-M 'P m -3 m'
_symmetry_Int_Tables_number 221
_symmetry_space_group_name_Hall '-P 4 2 3'
loop_
_atom_site_label
_atom_site_fract_x
_atom_site_fract_y
_atom_site_fract_z
_atom_site_occupancy
Re1 0.0000 0.0000 0.5000 1
Se1 0.5000 0.5000 0.5000 1
O1 0.0000 0.0000 0.0000 1
# * Fermi-level density of states: 5.45 states/eV/f.u.
# * raw formation energy: 0.948 eV per atom


# FeAgSb3, optimized geometry, DFT GGA-PBEsol
data_FeAgSb3
_cell_length_a 4.8579
_cell_length_b 4.8579
_cell_length_c 4.8579
_cell_angle_alpha 90.00
_cell_angle_beta 90.00
_cell_angle_gamma 90.00
_symmetry_space_group_name_H-M 'P m -3 m'
_symmetry_Int_Tables_number 221
_symmetry_space_group_name_Hall '-P 4 2 3'
loop_
_atom_site_label
_atom_site_fract_x
_atom_site_fract_y
_atom_site_fract_z
_atom_site_occupancy
Fe1 0.0000 0.0000 0.0000 1
Ag1 0.5000 0.5000 0.5000 1
Sb1 0.0000 0.0000 0.5000 1
# * Fermi-level density of states: 2.91 states/eV/f.u.
# * raw formation energy: 0.444 eV per atom


# BeIrF2, optimized geometry, DFT GGA-PBEsol
data_BeIrF2
_cell_length_a 5.6007
_cell_length_b 5.6007
_cell_length_c 5.6007
_cell_angle_alpha 90.00
_cell_angle_beta 90.00
_cell_angle_gamma 90.00
_symmetry_space_group_name_H-M 'F m -3 m'
_symmetry_Int_Tables_number 225
_symmetry_space_group_name_Hall '-F 4 2 3'
loop_
_atom_site_label
_atom_site_fract_x
_atom_site_fract_y
_atom_site_fract_z
_atom_site_occupancy
Be1 0.0000 0.0000 0.0000 1
Ir1 0.0000 0.0000 0.5000 1
F1 0.2500 0.2500 0.2500 1
# * Fermi-level density of states: 1.05 states/eV/f.u.
# * raw formation energy: 0.183 eV per atom


# BeFeSi, optimized geometry, DFT GGA-PBEsol
data_BeFeSi
_cell_length_a 2.7942
_cell_length_b 2.7942
_cell_length_c 7.3120
_cell_angle_alpha 90.00
_cell_angle_beta 90.00
_cell_angle_gamma 90.00
_symmetry_space_group_name_H-M 'I 4 m m'
_symmetry_Int_Tables_number 107
_symmetry_space_group_name_Hall 'I 4 -2'
loop_
_atom_site_label
_atom_site_fract_x
_atom_site_fract_y
_atom_site_fract_z
_atom_site_occupancy
Be1 0.0000 0.0000 0.0000 1
Fe1 0.0000 0.0000 0.3436 1
Si1 0.0000 0.0000 0.6739 1
# * raw formation energy: -0.483 eV per atom


# LiMnAl2, optimized geometry, DFT GGA-PBEsol
data_LiMnAl2
_cell_length_a 2.7763
_cell_length_b 3.8550
_cell_length_c 5.3245
_cell_angle_alpha 90.00
_cell_angle_beta 90.00
_cell_angle_gamma 90.00
_symmetry_space_group_name_H-M 'P m m 2'
_symmetry_Int_Tables_number 25
loop_
_symmetry_equiv_pos_as_xyz
'x,y,z'
'-x,-y,z'
'-x,y,z'
'x,-y,z'
loop_
_atom_site_label
_atom_site_fract_x
_atom_site_fract_y
_atom_site_fract_z
_atom_site_occupancy
Li1 0.0000 0.0000 0.0000 1
Mn1 0.5000 0.5000 0.2637 1
Al1 0.0000 0.0000 0.4689 1
Al2 0.5000 0.5000 0.7601 1
# * Fermi-level density of states: 1.98 states/eV/f.u.


# RbLaMoI2, optimized geometry, DFT GGA-PBEsol
data_RbLaMoI2
_cell_length_a 5.4058
_cell_length_b 5.4058
_cell_length_c 5.3561
_cell_angle_alpha 90.00
_cell_angle_beta 90.00
_cell_angle_gamma 90.00
_symmetry_space_group_name_H-M 'P 4/m m m'
_symmetry_Int_Tables_number 123
_symmetry_space_group_name_Hall '-P 4 2'
loop_
_atom_site_label
_atom_site_fract_x
_atom_site_fract_y
_atom_site_fract_z
_atom_site_occupancy
Rb1 0.0000 0.0000 0.0000 1
La1 0.5000 0.5000 0.0000 1
Mo1 0.0000 0.0000 0.5000 1
I1 0.0000 0.5000 0.5000 1
# * Fermi-level density of states: 5.81 states/eV/f.u.
# * raw formation energy: 0.721 eV per atom


# CaNiTe2I, optimized geometry, DFT GGA-PBEsol
data_CaNiTe2I
_cell_length_a 5.7521
_cell_length_b 5.7521
_cell_length_c 5.7419
_cell_angle_alpha 90.00
_cell_angle_beta 90.00
_cell_angle_gamma 90.00
_symmetry_space_group_name_H-M 'P 4/m m m'
_symmetry_Int_Tables_number 123
_symmetry_space_group_name_Hall '-P 4 2'
loop_
_atom_site_label
_atom_site_fract_x
_atom_site_fract_y
_atom_site_fract_z
_atom_site_occupancy
Ca1 0.0000 0.0000 0.0000 1
Ni1 0.5000 0.5000 0.5000 1
Te1 0.0000 0.5000 0.0000 1
I1 0.0000 0.0000 0.5000 1
# * Fermi-level density of states: 14.21 states/eV/f.u.
# * raw formation energy: 0.632 eV per atom


# Cd2NiH2, optimized geometry, DFT GGA-PBEsol
data_Cd2NiH2
_cell_length_a 2.9925
_cell_length_b 2.9925
_cell_length_c 12.9371
_cell_angle_alpha 90.00
_cell_angle_beta 90.00
_cell_angle_gamma 90.00
_symmetry_space_group_name_H-M 'I 4/m m m'
_symmetry_Int_Tables_number 139
_symmetry_space_group_name_Hall '-I 4 2'
loop_
_atom_site_label
_atom_site_fract_x
_atom_site_fract_y
_atom_site_fract_z
_atom_site_occupancy
Cd1 0.0000 0.0000 0.1306 1
Ni1 0.0000 0.0000 0.5000 1
H1 0.0000 0.5000 0.2500 1
# * Fermi-level density of states: 1.12 states/eV/f.u.


# HfAg2Pt, optimized geometry, DFT GGA-PBEsol
data_HfAg2Pt
_cell_length_a 6.4515
_cell_length_b 6.4515
_cell_length_c 6.4515
_cell_angle_alpha 90.00
_cell_angle_beta 90.00
_cell_angle_gamma 90.00
_symmetry_space_group_name_H-M 'F m -3 m'
_symmetry_Int_Tables_number 225
_symmetry_space_group_name_Hall '-F 4 2 3'
loop_
_atom_site_label
_atom_site_fract_x
_atom_site_fract_y
_atom_site_fract_z
_atom_site_occupancy
Hf1 0.0000 0.0000 0.0000 1
Ag1 0.2500 0.2500 0.2500 1
Pt1 0.0000 0.0000 0.5000 1
# * Fermi-level density of states: 3.84 states/eV/f.u.


# K2LiZnPb, optimized geometry, DFT GGA-PBEsol
data_K2LiZnPb
_cell_length_a 6.1498
_cell_length_b 6.1498
_cell_length_c 4.9166
_cell_angle_alpha 90.00
_cell_angle_beta 90.00
_cell_angle_gamma 90.00
_symmetry_space_group_name_H-M 'P 4/m m m'
_symmetry_Int_Tables_number 123
_symmetry_space_group_name_Hall '-P 4 2'
loop_
_atom_site_label
_atom_site_fract_x
_atom_site_fract_y
_atom_site_fract_z
_atom_site_occupancy
K1 0.0000 0.5000 0.0000 1
Li1 0.0000 0.0000 0.5000 1
Zn1 0.0000 0.0000 0.0000 1
Pb1 0.5000 0.5000 0.5000 1
# * Fermi-level density of states: 3.55 states/eV/f.u.


# Ba3GaN3, optimized geometry, DFT GGA-PBEsol
data_Ba3GaN3
_cell_length_a 7.9799
_cell_length_b 7.9799
_cell_length_c 5.7229
_cell_angle_alpha 90.00
_cell_angle_beta 90.00
_cell_angle_gamma 120.00
_symmetry_space_group_name_H-M 'P 63/m'
_symmetry_Int_Tables_number 176
_symmetry_space_group_name_Hall '-P 6c'
loop_
_atom_site_label
_atom_site_fract_x
_atom_site_fract_y
_atom_site_fract_z
_atom_site_occupancy
Ba1 0.0702 0.3614 0.2500 1
Ga1 0.3333 0.6667 0.7500 1
N1 0.1066 0.4163 0.7500 1
# * Fermi-level density of states: 0.10 states/eV/f.u.
# * raw formation energy: -0.603 eV per atom


# ScInCl2, optimized geometry, DFT GGA-PBEsol
data_ScInCl2
_cell_length_a 5.0290
_cell_length_b 5.0290
_cell_length_c 3.4044
_cell_angle_alpha 90.00
_cell_angle_beta 90.00
_cell_angle_gamma 90.00
_symmetry_space_group_name_H-M 'P 4/m m m'
_symmetry_Int_Tables_number 123
_symmetry_space_group_name_Hall '-P 4 2'
loop_
_atom_site_label
_atom_site_fract_x
_atom_site_fract_y
_atom_site_fract_z
_atom_site_occupancy
Sc1 0.0000 0.0000 0.0000 1
In1 0.5000 0.5000 0.0000 1
Cl1 0.0000 0.5000 0.5000 1
# * polymorph energy (0 for the lowest one): 0.556 eV per atom
# * Fermi-level density of states: 3.19 states/eV/f.u.
# * raw formation energy: -0.637 eV per atom


# K2MgHIr, optimized geometry, DFT GGA-PBEsol
data_K2MgHIr
_cell_length_a 4.5174
_cell_length_b 4.5174
_cell_length_c 5.0130
_cell_angle_alpha 90.00
_cell_angle_beta 90.00
_cell_angle_gamma 90.00
_symmetry_space_group_name_H-M 'P 4/m m m'
_symmetry_Int_Tables_number 123
_symmetry_space_group_name_Hall '-P 4 2'
loop_
_atom_site_label
_atom_site_fract_x
_atom_site_fract_y
_atom_site_fract_z
_atom_site_occupancy
K1 0.0000 0.5000 0.0000 1
Mg1 0.0000 0.0000 0.5000 1
H1 0.0000 0.0000 0.0000 1
Ir1 0.5000 0.5000 0.5000 1
# * Fermi-level density of states: 5.10 states/eV/f.u.


# KTlO3, optimized geometry, DFT GGA-PBEsol
data_KTlO3
_cell_length_a 4.7209
_cell_length_b 4.7209
_cell_length_c 4.7209
_cell_angle_alpha 90.00
_cell_angle_beta 90.00
_cell_angle_gamma 90.00
_symmetry_space_group_name_H-M 'P m -3 m'
_symmetry_Int_Tables_number 221
_symmetry_space_group_name_Hall '-P 4 2 3'
loop_
_atom_site_label
_atom_site_fract_x
_atom_site_fract_y
_atom_site_fract_z
_atom_site_occupancy
K1 0.0000 0.0000 0.0000 1
Tl1 0.5000 0.5000 0.5000 1
O1 0.0000 0.0000 0.5000 1
# * Fermi-level density of states: 7.00 states/eV/f.u.
# * raw formation energy: 0.606 eV per atom


# CdSn2IrBr, optimized geometry, DFT GGA-PBEsol
data_CdSn2IrBr
_cell_length_a 5.0487
_cell_length_b 5.0487
_cell_length_c 5.3787
_cell_angle_alpha 90.00
_cell_angle_beta 90.00
_cell_angle_gamma 90.00
_symmetry_space_group_name_H-M 'P 4/m m m'
_symmetry_Int_Tables_number 123
_symmetry_space_group_name_Hall '-P 4 2'
loop_
_atom_site_label
_atom_site_fract_x
_atom_site_fract_y
_atom_site_fract_z
_atom_site_occupancy
Cd1 0.0000 0.0000 0.0000 1
Sn1 0.0000 0.5000 0.5000 1
Ir1 0.5000 0.5000 0.5000 1
Br1 0.5000 0.5000 0.0000 1
# * Fermi-level density of states: 1.71 states/eV/f.u.
# * raw formation energy: 0.208 eV per atom


For the records above, the corresponding energy values read -5.297, -7.515, -2.816, -5.881, -2.781, -8.871, -4.745, -4.236, -6.720, -4.937, -3.614, -2.790, -2.659, -6.207, -1.657, -5.656, -4.038, -2.772, -3.296, -4.074 eV/atom.